## PmYHoLu (PBE-GGA)

Data for a geometry-optimized PmYHoLu structure.

Output
formation energy = 118 meV per atom
spin magnetization = 0.001 μB per formula unit
electronic total energy = -4.960 eV per atom

Cell lengths 5.6639, 5.6639, 5.6639 Å; angles 60.00, 60.00, 60.00 degrees
Positions (direct):
Pm  0.5000  0.5000  0.5000
Ho  0.2500  0.2500  0.2500
Lu  0.7500  0.7500  0.7500
Y  0.0000  0.0000  0.0000